Material: VGa3Hg
Method: DFT, PBE
State: relaxed Values from VASP.

Properties
Polymorph energy (0 for the lowest one), meV/atom: 0.0
Formation energy from the elements, meV/atom: 409
Volume, Å³/f.u.: 123.82

Cell and atoms, written as Quantum ESPRESSO input:
```
&SYSTEM
  ibrav = 0, nat = 5, ntyp = 3
/
ATOMIC_SPECIES
Hg 200.59 Hg.upf
Ga 69.72 Ga.upf
V 50.94 V.upf
ATOMIC_POSITIONS crystal
Hg 0.500 0.500 0.500
Ga 0.000 0.500 0.000
Ga 0.000 0.000 0.500
Ga 0.500 0.000 0.000
V 0.000 0.000 0.000
CELL_PARAMETERS angstrom
-3.576 1.121 3.286
-0.269 -4.792 1.343
3.462 0.786 3.498
```